KMnBr2F | GGA+U | optimized geometry

a b c (Å): 5.5538 5.5538 4.1356
angles (deg): 90.00 90.00 90.00
With the nearest neighbours (Å) after each atom.
Sites, in units of the cell vectors:
Br 0.0000 0.5000 0.0000  2 Mn 2.78
K 0.5000 0.5000 0.5000  8 Br 3.46
F 0.0000 0.0000 0.5000  2 Mn 2.07
Mn 0.0000 0.0000 0.0000  2 F 2.07
Br 0.5000 0.0000 0.0000  2 Mn 2.78

## Properties
For the raw total energy, the calculation gives -22.66 eV per cell. Its symmetry is P4/mmm (123).